Record 1
{
  "formula": "DyMnS3",
  "functional": "GGA-PBE",
  "state": "relaxed",
  "cell": [[-3.219, 1.911, -0.257], [-0.977, -0.629, 7.549], [6.353, 10.938, 1.734]],
  "species": ["Dy", "Dy", "Dy", "Dy", "Mn", "Mn", "Mn", "Mn", "S", "S", "S", "S", "S", "S", "S", "S", "S", "S", "S", "S"],
  "frac_coords": [[0.750, 0.908, 0.830], [0.250, 0.092, 0.170], [0.750, 0.408, 0.670], [0.250, 0.592, 0.330], [0.250, 0.341, 0.949], [0.250, 0.841, 0.551], [0.750, 0.159, 0.449], [0.750, 0.659, 0.051], [0.250, 0.348, 0.507], [0.750, 0.807, 0.214], [0.750, 0.520, 0.885], [0.750, 0.020, 0.615], [0.750, 0.652, 0.493], [0.250, 0.980, 0.385], [0.250, 0.848, 0.993], [0.750, 0.307, 0.286], [0.250, 0.693, 0.714], [0.250, 0.193, 0.786], [0.750, 0.152, 0.007], [0.250, 0.480, 0.115]],
  "energy_ev_per_fu": -32.4,
  "dos_at_fermi_per_ev_atom": 0.398,
  "formation_energy_uncorrected_ev_per_atom": -1.26,
  "volume_a3_per_cell": 365.9,
  "rho_g_cm3": 5.69,
  "space_group": "No. 62",
  "de_polymorph_mev_per_atom": 0
}

=====

Record 2
{
  "formula": "DyMnS",
  "functional": "GGA-PBE",
  "state": "relaxed",
  "cell": [[3.852, 0.000, 0.000], [1.926, 3.336, 0.000], [1.926, 1.112, 11.000]],
  "species": ["Dy", "Dy", "S", "S", "Mn", "Mn"],
  "frac_coords": [[0.570, 0.570, 0.289], [0.430, 0.430, 0.711], [0.278, 0.278, 0.166], [0.722, 0.722, 0.834], [0.831, 0.831, 0.508], [0.169, 0.169, 0.492]],
  "energy_ev_per_fu": -19.9,
  "dos_at_fermi_per_ev_atom": 0.466,
  "formation_energy_uncorrected_ev_per_atom": -0.68,
  "volume_a3_per_cell": 141.4,
  "rho_g_cm3": 5.86,
  "space_group": "No. 166"
}

=====

Record 3
{
  "formula": "DyMnS2",
  "functional": "GGA-PBE",
  "state": "relaxed",
  "cell": [[-1.568, 1.329, 3.044], [-3.660, 0.149, 0.266], [-1.811, -6.759, 4.235]],
  "species": ["S", "S", "Mn", "Dy"],
  "frac_coords": [[0.111, 0.111, 0.666], [0.889, 0.889, 0.334], [0.500, 0.500, 0.500], [0.000, 0.000, 0.000]],
  "energy_ev_per_fu": -24.6,
  "dos_at_fermi_per_ev_atom": 0.584,
  "formation_energy_uncorrected_ev_per_atom": -0.65,
  "volume_a3_per_cell": 92.3,
  "rho_g_cm3": 5.07,
  "space_group": "No. 166"
}

=====

Record 4
{
  "formula": "Dy3MnS6",
  "functional": "GGA-PBE",
  "state": "relaxed",
  "cell": [[6.523, 0.000, 0.000], [0.000, 8.461, 0.040], [0.000, -1.849, 8.257]],
  "species": ["Dy", "Dy", "Dy", "Dy", "Dy", "Dy", "Mn", "Mn", "S", "S", "S", "S", "S", "S", "S", "S", "S", "S", "S", "S"],
  "frac_coords": [[0.480, 0.916, 0.718], [0.980, 0.718, 0.916], [0.395, 0.400, 0.600], [0.895, 0.600, 0.400], [0.980, 0.084, 0.282], [0.480, 0.282, 0.084], [0.020, 0.200, 0.800], [0.520, 0.800, 0.200], [0.188, 0.691, 0.634], [0.688, 0.634, 0.691], [0.196, 0.430, 0.901], [0.696, 0.901, 0.430], [0.173, 0.039, 0.961], [0.669, 0.220, 0.780], [0.169, 0.780, 0.220], [0.673, 0.961, 0.039], [0.196, 0.099, 0.570], [0.696, 0.570, 0.099], [0.188, 0.366, 0.309], [0.688, 0.309, 0.366]],
  "energy_ev_per_fu": -64.1,
  "dos_at_fermi_per_ev_atom": 0.565,
  "formation_energy_uncorrected_ev_per_atom": -1.64,
  "volume_a3_per_cell": 456.2,
  "rho_g_cm3": 5.35,
  "space_group": "No. 36"
}

=====

Record 5
{
  "formula": "Dy2MnS4",
  "functional": "GGA-PBE",
  "state": "relaxed",
  "cell": [[-3.958, -1.178, -6.667], [-1.040, -7.525, 1.946], [-2.232, 5.670, 4.937]],
  "species": ["Dy", "Dy", "Dy", "Dy", "Mn", "Mn", "S", "S", "S", "S", "S", "S", "S", "S"],
  "frac_coords": [[0.625, 0.375, 0.750], [0.625, 0.875, 0.250], [0.625, 0.375, 0.250], [0.125, 0.375, 0.750], [0.250, 0.750, 0.500], [0.000, 0.000, 0.000], [0.872, 0.128, 0.256], [0.378, 0.622, 0.244], [0.872, 0.616, 0.744], [0.872, 0.128, 0.744], [0.383, 0.128, 0.256], [0.378, 0.134, 0.756], [0.378, 0.622, 0.756], [0.867, 0.622, 0.244]],
  "energy_ev_per_fu": -46.3,
  "formation_energy_uncorrected_ev_per_atom": -1.64,
  "volume_a3_per_cell": 341.0,
  "rho_g_cm3": 4.95,
  "space_group": "No. 227"
}

=====

Record 6
{
  "formula": "Dy6Mn3S14",
  "functional": "GGA-PBE",
  "state": "relaxed",
  "cell": [[-3.968, -4.713, -1.105], [4.747, -2.144, -7.907], [2.455, -3.995, 8.226]],
  "species": ["Dy", "Dy", "Dy", "Dy", "Dy", "Dy", "Mn", "Mn", "Mn", "S", "S", "S", "S", "S", "S", "S", "S", "S", "S", "S", "S", "S", "S"],
  "frac_coords": [[0.253, 0.837, 0.122], [0.253, 0.878, 0.715], [0.253, 0.285, 0.163], [0.791, 0.503, 0.540], [0.791, 0.460, 0.963], [0.791, 0.037, 0.497], [0.836, 0.000, 0.000], [0.361, 0.333, 0.667], [0.427, 0.667, 0.333], [0.993, 0.113, 0.258], [0.993, 0.742, 0.855], [0.993, 0.145, 0.887], [0.523, 0.230, 0.431], [0.523, 0.569, 0.800], [0.523, 0.200, 0.770], [0.465, 0.000, 0.000], [0.004, 0.333, 0.667], [0.650, 0.774, 0.206], [0.650, 0.794, 0.568], [0.650, 0.432, 0.226], [0.206, 0.559, 0.465], [0.206, 0.535, 0.094], [0.206, 0.906, 0.441]],
  "energy_ev_per_fu": -146.9,
  "dos_at_fermi_per_ev_atom": 0.177,
  "formation_energy_uncorrected_ev_per_atom": -1.48,
  "volume_a3_per_cell": 486.0,
  "rho_g_cm3": 5.43,
  "space_group": "No. 143"
}

=====

Record 7
{
  "formula": "DyMnS3",
  "functional": "GGA-PBE",
  "state": "relaxed",
  "cell": [[3.612, 0.000, 0.000], [0.000, 6.674, 0.139], [0.000, -1.328, 7.326]],
  "species": ["Dy", "Dy", "Mn", "Mn", "S", "S", "S", "S", "S", "S"],
  "frac_coords": [[0.250, 0.382, 0.204], [0.750, 0.618, 0.796], [0.250, 0.879, 0.381], [0.750, 0.121, 0.619], [0.750, 0.649, 0.409], [0.250, 0.351, 0.591], [0.750, 0.267, 0.938], [0.250, 0.925, 0.677], [0.250, 0.733, 0.062], [0.750, 0.075, 0.323]],
  "energy_ev_per_fu": -31.9,
  "dos_at_fermi_per_ev_atom": 0.264,
  "formation_energy_uncorrected_ev_per_atom": -1.14,
  "volume_a3_per_cell": 177.3,
  "rho_g_cm3": 5.88,
  "space_group": "No. 11",
  "de_polymorph_mev_per_atom": 112
}

=====

Record 8
{
  "formula": "Dy2ScMnS6",
  "functional": "GGA-PBE",
  "state": "relaxed",
  "cell": [[6.284, 0.000, -0.049], [0.000, 7.054, 0.000], [-0.014, 0.000, 9.160]],
  "species": ["Dy", "Dy", "Dy", "Dy", "Sc", "Sc", "Mn", "Mn", "S", "S", "S", "S", "S", "S", "S", "S", "S", "S", "S", "S"],
  "frac_coords": [[0.043, 0.890, 0.248], [0.543, 0.610, 0.748], [0.957, 0.110, 0.752], [0.457, 0.390, 0.252], [0.500, 0.000, 0.000], [0.000, 0.500, 0.500], [0.500, 0.000, 0.500], [0.000, 0.500, 0.000], [0.316, 0.673, 0.061], [0.816, 0.827, 0.561], [0.684, 0.327, 0.939], [0.184, 0.173, 0.439], [0.328, 0.679, 0.433], [0.828, 0.821, 0.933], [0.672, 0.321, 0.567], [0.172, 0.179, 0.067], [0.861, 0.538, 0.238], [0.361, 0.962, 0.738], [0.139, 0.462, 0.762], [0.639, 0.038, 0.262]],
  "energy_ev_per_fu": -65.8,
  "dos_at_fermi_per_ev_atom": 0.114,
  "formation_energy_uncorrected_ev_per_atom": -1.63,
  "volume_a3_per_cell": 406.0,
  "rho_g_cm3": 5.05,
  "space_group": "No. 14"
}

=====

Record 9
{
  "formula": "DyMnSn2S5",
  "functional": "GGA-PBE",
  "state": "relaxed",
  "cell": [[-2.187, -2.040, 2.607], [7.289, 2.176, 4.800], [-5.787, 11.041, 3.783]],
  "species": ["Dy", "Dy", "Mn", "Mn", "Sn", "Sn", "Sn", "Sn", "S", "S", "S", "S", "S", "S", "S", "S", "S", "S"],
  "frac_coords": [[0.799, 0.598, 0.536], [0.201, 0.402, 0.036], [0.580, 0.160, 0.879], [0.420, 0.840, 0.379], [0.907, 0.815, 0.865], [0.154, 0.308, 0.688], [0.093, 0.185, 0.365], [0.846, 0.692, 0.188], [0.355, 0.711, 0.050], [0.709, 0.418, 0.891], [0.481, 0.962, 0.768], [0.301, 0.602, 0.678], [0.952, 0.905, 0.468], [0.645, 0.289, 0.550], [0.291, 0.582, 0.391], [0.519, 0.038, 0.268], [0.699, 0.398, 0.178], [0.048, 0.095, 0.968]],
  "energy_ev_per_fu": -50.1,
  "dos_at_fermi_per_ev_atom": 0.224,
  "formation_energy_uncorrected_ev_per_atom": -0.85,
  "volume_a3_per_cell": 453.4,
  "rho_g_cm3": 4.51,
  "space_group": "No. 36"
}

=====

Record 10
{
  "formula": "Tb2DyMnS6",
  "functional": "GGA-PBE",
  "state": "relaxed",
  "cell": [[-0.187, -6.829, 1.053], [5.392, -3.674, -1.039], [3.369, -2.970, 5.754]],
  "species": ["Tb", "Tb", "Dy", "Mn", "S", "S", "S", "S", "S", "S"],
  "frac_coords": [[0.519, 0.529, 0.433], [0.005, 0.027, 0.944], [0.820, 0.815, 0.549], [0.323, 0.322, 0.033], [0.590, 0.199, 0.267], [0.217, 0.957, 0.237], [0.964, 0.574, 0.248], [0.425, 0.685, 0.776], [0.687, 0.119, 0.773], [0.111, 0.435, 0.754]],
  "energy_ev_per_fu": -63.8,
  "dos_at_fermi_per_ev_atom": 0.046,
  "formation_energy_uncorrected_ev_per_atom": -1.60,
  "volume_a3_per_cell": 236.4,
  "rho_g_cm3": 5.11,
  "space_group": "No. 1"
}

=====

Record 11
{
  "formula": "DyMnTl2S4",
  "functional": "GGA-PBE",
  "state": "relaxed",
  "cell": [[8.121, 0.010, -0.100], [0.004, 8.121, -0.100], [-4.048, -4.051, 5.848]],
  "species": ["Dy", "Dy", "Mn", "Mn", "Tl", "Tl", "Tl", "Tl", "S", "S", "S", "S", "S", "S", "S", "S"],
  "frac_coords": [[0.000, 0.500, 0.000], [0.000, 0.500, 0.500], [0.500, 0.500, 0.500], [0.000, 0.000, 0.000], [0.500, 0.000, 0.000], [0.500, 0.000, 0.500], [0.000, 0.000, 0.500], [0.500, 0.500, 0.000], [0.200, 0.747, 0.974], [0.753, 0.300, 0.526], [0.247, 0.700, 0.474], [0.800, 0.253, 0.026], [0.761, 0.739, 0.954], [0.761, 0.739, 0.546], [0.239, 0.261, 0.454], [0.239, 0.261, 0.046]],
  "energy_ev_per_fu": -41.9,
  "dos_at_fermi_per_ev_atom": 0.472,
  "formation_energy_uncorrected_ev_per_atom": -0.86,
  "volume_a3_per_cell": 379.1,
  "rho_g_cm3": 6.61,
  "space_group": "No. 74"
}

=====

Record 12
{
  "formula": "Dy3MnTl3S8",
  "functional": "GGA-PBE",
  "state": "relaxed",
  "cell": [[7.789, 0.000, 0.000], [-3.895, 6.746, -0.028], [0.000, -4.466, 7.637]],
  "species": ["Dy", "Dy", "Dy", "Mn", "Tl", "Tl", "Tl", "S", "S", "S", "S", "S", "S", "S", "S"],
  "frac_coords": [[0.500, 0.000, 0.500], [0.500, 0.500, 0.500], [0.000, 0.500, 0.500], [0.000, 0.000, 0.500], [0.000, 0.000, 0.000], [0.000, 0.500, 0.000], [0.500, 0.500, 0.000], [0.267, 0.534, 0.300], [0.733, 0.466, 0.700], [0.791, 0.581, 0.318], [0.209, 0.419, 0.682], [0.791, 0.027, 0.318], [0.209, 0.973, 0.682], [0.237, 0.027, 0.318], [0.763, 0.973, 0.682]],
  "energy_ev_per_fu": -81.5,
  "dos_at_fermi_per_ev_atom": 0.044,
  "formation_energy_uncorrected_ev_per_atom": -1.23,
  "volume_a3_per_cell": 400.3,
  "rho_g_cm3": 5.86,
  "space_group": "No. 166"
}